DFT (PBE) results for a relaxed AlTe2AuN crystal.

Calculated values
* raw formation energy: 1.79 eV per formula unit
* polymorph energy (0 for the lowest one): 0.000 eV/atom
* total energy: -3.968 eV per atom
* space-group type: No. 123

Cell lengths 5.6862, 5.6862, 3.4078 Å; angles 90.00, 90.00, 90.00 degrees
Fractional coordinates of all 5 atoms:
1 N 0.0000 0.0000 0.5000
2 Te 0.0000 0.5000 0.0000
3 Te 0.5000 0.0000 0.0000
4 Al 0.0000 0.0000 0.0000
5 Au 0.5000 0.5000 0.5000